1.
Here is a relaxed structure of PaZnAsN from the Alexandria database. Energies are from GGA-PBE.

Cell lengths 3.990, 3.990, 10.740 Å; angles 79.30, 79.30, 60.00 degrees
Positions (direct):
N  0.307  0.307  0.079
N  0.693  0.693  0.921
Pa  0.377  0.377  0.870
Pa  0.623  0.623  0.130
As  0.109  0.109  0.672
As  0.891  0.891  0.328
Zn  0.195  0.195  0.416
Zn  0.805  0.805  0.584

SG: R-3m (166)
Magnetic moment (μB per atom): 0.000
Formation energy (no corrections) (eV per formula unit): -4.06

2.
Here is a relaxed structure of Pa2ZnAsN5 from the Alexandria database. Energies are from GGA-PBE.

Cell lengths 3.458, 6.999, 9.607 Å; angles 90.00, 90.00, 104.30 degrees
Last column: magnetic moment on the atom in μB.
Positions (direct):
N  0.318  0.637  0.365  -0.01
N  0.049  0.099  0.046  0.00
N  0.711  0.422  0.184  -0.01
N  0.636  0.271  0.506  -0.01
N  0.504  0.008  0.281  -0.01
N  0.289  0.578  0.684  -0.01
N  0.951  0.901  0.546  0.00
N  0.682  0.363  0.865  -0.01
N  0.364  0.729  0.006  -0.01
N  0.496  0.992  0.781  -0.01
Pa  0.140  0.281  0.305  0.14
Pa  0.121  0.242  0.677  0.24
Pa  0.860  0.719  0.805  0.14
Pa  0.879  0.758  0.177  0.24
Zn  0.783  0.566  0.504  0.00
Zn  0.217  0.434  0.004  0.00
As  0.446  0.891  0.457  0.00
As  0.554  0.109  0.957  0.00

SG: Cmc2_1 (36)
Magnetic moment (μB per atom): 0.044
Formation energy (no corrections) (eV per formula unit): -5.38

3.
Here is a relaxed structure of ZrPa2As2N2 from the Alexandria database. Energies are from GGA-PBE.

Cell lengths 3.868, 6.184, 6.432 Å; angles 65.55, 72.50, 71.77 degrees
Positions (direct):
Pa  0.194  0.350  0.262
Pa  0.806  0.650  0.738
Zr  0.000  0.000  0.000
As  0.567  0.201  0.664
As  0.433  0.799  0.336
N  0.788  0.336  0.088
N  0.212  0.664  0.912

SG: C2/m (12)
Magnetic moment (μB per atom): 0.000
Formation energy (no corrections) (eV per formula unit): -10.17

4.
Here is a relaxed structure of ZrPaAsN2 from the Alexandria database. Energies are from GGA-PBE.

Cell lengths 3.805, 3.805, 6.441 Å; angles 107.18, 107.18, 90.00 degrees
Positions (direct):
Pa  0.155  0.155  0.310
Zr  0.843  0.843  0.686
N  0.752  0.252  0.503
N  0.252  0.752  0.503
As  0.499  0.499  0.998

SG: I4mm (107)
Magnetic moment (μB per atom): 0.000
Formation energy (no corrections) (eV per formula unit): -7.10

For each record above, in turn, the calculated calculated total energy values are -6.951; -7.991; -9.095; -9.289 eV per atom.